Material: Ac4MgSe7
Method: DFT, GGA-PBE
State: optimized geometry

a = 4.336 Å, b = 7.430 Å, c = 12.594 Å
α = 105.06°, β = 90.00°, γ = 106.97°
Positions (direct):
1 Se 0.741 0.482 0.369
2 Ac 0.003 0.005 0.989
3 Se 0.473 0.946 0.489
4 Mg 0.880 0.760 0.571
5 Se 0.340 0.680 0.954
6 Se 0.664 0.328 0.053
7 Ac 0.698 0.395 0.796
8 Ac 0.314 0.627 0.212
9 Ac 0.109 0.217 0.442
10 Se 0.279 0.559 0.652
11 Se 0.965 0.931 0.215
12 Se 0.035 0.070 0.759

total DFT energy (no corrections): -64.6 eV for the cell shown
raw formation energy: -1847 meV per atom
magnetic moment: 0.0 μB per formula unit